Entry 1:
The following is a DFT calculation (PBE with a Hubbard U) of a geometry-optimized RbMnO2 structure.

Lattice parameters (Å, degrees): 6.0602 6.0602 5.8141 58.59 58.59 90.00
Last column: nearest neighbours and their distance in Å.
Sites, in units of the cell vectors:
Mn  0.2500  0.7500  0.5000  4 O 1.92
Mn  0.5000  0.5000  0.0000  4 O 1.92
O  0.4840  0.1250  0.2500  2 Mn 1.92
O  0.2660  0.6250  0.2500  2 Mn 1.92
O  0.3750  0.5160  0.7500  2 Mn 1.92
O  0.8750  0.7340  0.7500  2 Mn 1.92
Rb  0.0000  0.0000  0.0000  4 O 2.98
Rb  0.7500  0.2500  0.5000  4 O 2.98

Entry 2:
The following is a DFT calculation (PBE with a Hubbard U) of a geometry-optimized Rb3MnO structure.

Values from the calculation:
Energy above the most stable polymorph in this dataset, meV per atom: 0

Lattice parameters (Å, degrees): 5.8158 5.8158 5.8158 90.00 90.00 90.00
Last column: nearest neighbours and their distance in Å.
Sites, in units of the cell vectors:
O  0.0000  0.0000  0.0000  6 Rb 2.91
Rb  0.0000  0.0000  0.5000  2 O 2.91
Rb  0.5000  0.0000  0.0000  2 O 2.91
Rb  0.0000  0.5000  0.0000  2 O 2.91
Mn  0.5000  0.5000  0.5000  12 Rb 4.11

Entry 3:
The following is a DFT calculation (PBE with a Hubbard U) of a geometry-optimized Rb3Mn5O12 structure.

Lattice parameters (Å, degrees): 11.5690 11.5690 11.5690 109.47 109.47 109.47
Last column: nearest neighbours and their distance in Å.
Sites, in units of the cell vectors:
Rb  0.3750  0.7500  0.6250  8 O 2.72-2.96
Rb  0.7500  0.3750  0.1250  8 O 2.72-2.96
Rb  0.3750  0.6250  0.2500  8 O 2.72-2.96
Rb  0.8750  0.1250  0.2500  8 O 2.72-2.96
Rb  0.8750  0.7500  0.1250  8 O 2.72-2.96
Rb  0.7500  0.8750  0.6250  8 O 2.72-2.96
Rb  0.1250  0.8750  0.7500  8 O 2.72-2.96
Rb  0.2500  0.6250  0.8750  8 O 2.72-2.96
Rb  0.1250  0.2500  0.8750  8 O 2.72-2.96
Rb  0.6250  0.2500  0.3750  8 O 2.72-2.96
Rb  0.2500  0.1250  0.3750  8 O 2.72-2.96
Rb  0.6250  0.3750  0.7500  8 O 2.72-2.96
Mn  0.7500  0.6250  0.3750  4 O 1.71
Mn  0.5000  0.5000  0.0000  6 O 2.19
Mn  0.5000  0.5000  0.5000  6 O 2.19
Mn  0.6250  0.8750  0.2500  4 O 1.71
Mn  0.5000  0.0000  0.0000  6 O 2.19
Mn  0.0000  0.5000  0.0000  6 O 2.19
Mn  0.6250  0.7500  0.8750  4 O 1.71
Mn  0.0000  0.0000  0.5000  6 O 2.19
Mn  0.1250  0.3750  0.2500  4 O 1.71
Mn  0.1250  0.7500  0.3750  4 O 1.71
Mn  0.3750  0.1250  0.7500  4 O 1.71
Mn  0.0000  0.0000  0.0000  6 O 2.19
Mn  0.2500  0.3750  0.6250  4 O 1.71
Mn  0.7500  0.1250  0.8750  4 O 1.71
Mn  0.8750  0.2500  0.6250  4 O 1.71
Mn  0.0000  0.5000  0.5000  6 O 2.19
Mn  0.5000  0.0000  0.5000  6 O 2.19
Mn  0.8750  0.6250  0.7500  4 O 1.71
Mn  0.3750  0.2500  0.1250  4 O 1.71
Mn  0.2500  0.8750  0.1250  4 O 1.71
O  0.8120  0.2979  0.9146  1 Mn 1.71
O  0.1167  0.2021  0.5141  1 Mn 1.71
O  0.4146  0.1026  0.6167  1 Mn 1.71
O  0.5854  0.6880  0.7021  1 Mn 1.71
O  0.8833  0.0854  0.8974  1 Mn 1.71
O  0.3974  0.0141  0.8120  1 Mn 1.71
O  0.3974  0.3833  0.0854  1 Mn 1.71
O  0.8974  0.5854  0.8833  1 Mn 1.71
O  0.9146  0.1167  0.6026  1 Mn 1.71
O  0.1880  0.4859  0.6026  1 Mn 1.71
O  0.9859  0.3833  0.7979  1 Mn 1.71
O  0.1026  0.6880  0.4859  1 Mn 1.71
O  0.3120  0.4146  0.7979  1 Mn 1.71
O  0.4146  0.3120  0.2979  1 Mn 1.71
O  0.0141  0.3974  0.3120  1 Mn 1.71
O  0.6167  0.0141  0.7021  1 Mn 1.71
O  0.7979  0.8833  0.9859  1 Mn 1.71
O  0.3833  0.3974  0.5854  1 Mn 1.71
O  0.6880  0.1026  0.9859  1 Mn 1.71
O  0.2021  0.1167  0.0141  1 Mn 1.71
O  0.0141  0.6167  0.2021  1 Mn 1.71
O  0.6880  0.5854  0.2021  1 Mn 1.71
O  0.8974  0.3120  0.5141  1 Mn 1.71
O  0.1880  0.7021  0.0854  1 Mn 1.71
O  0.1167  0.9146  0.1026  1 Mn 1.71
O  0.6167  0.6026  0.4146  1 Mn 1.71
O  0.8120  0.5141  0.3974  1 Mn 1.71
O  0.6026  0.6167  0.9146  1 Mn 1.71
O  0.9146  0.7979  0.8120  1 Mn 1.71
O  0.2021  0.0854  0.6880  1 Mn 1.71
O  0.5141  0.8120  0.8974  1 Mn 1.71
O  0.0854  0.2021  0.1880  1 Mn 1.71
O  0.8833  0.7979  0.4859  1 Mn 1.71
O  0.4859  0.1880  0.1026  1 Mn 1.71
O  0.0854  0.8833  0.3974  1 Mn 1.71
O  0.3833  0.9859  0.2979  1 Mn 1.71
O  0.3120  0.8974  0.0141  1 Mn 1.71
O  0.7021  0.1880  0.5854  1 Mn 1.71
O  0.2979  0.4859  0.3833  1 Mn 1.71
O  0.1026  0.4146  0.1167  1 Mn 1.71
O  0.4859  0.2979  0.8833  1 Mn 1.71
O  0.7021  0.5141  0.6167  1 Mn 1.71
O  0.5141  0.7021  0.1167  1 Mn 1.71
O  0.5854  0.8974  0.3833  1 Mn 1.71
O  0.9859  0.6026  0.6880  1 Mn 1.71
O  0.6026  0.9859  0.1880  1 Mn 1.71
O  0.7979  0.9146  0.3120  1 Mn 1.71
O  0.2979  0.8120  0.4146  1 Mn 1.71

Entry 4:
The following is a DFT calculation (PBE with a Hubbard U) of a geometry-optimized Rb4MnO4 structure.

Values from the calculation:
Energy above the most stable polymorph in this dataset, meV per atom: 0

Lattice parameters (Å, degrees): 6.0779 7.9358 7.9358 90.00 90.00 90.00
Last column: nearest neighbours and their distance in Å.
Sites, in units of the cell vectors:
Rb  0.8695  0.4998  0.2176  5 O 2.93-3.01, 1 Mn 3.17
Rb  0.8695  0.5002  0.7824  5 O 2.93-3.01, 1 Mn 3.17
Rb  0.6305  0.9998  0.7176  5 O 2.93-3.01, 1 Mn 3.17
Rb  0.1305  0.2176  0.5002  5 O 2.93-3.01, 1 Mn 3.17
Rb  0.3695  0.7176  0.0002  5 O 2.93-3.01, 1 Mn 3.17
Rb  0.3695  0.2824  0.9998  5 O 2.93-3.01, 1 Mn 3.17
Rb  0.1305  0.7824  0.4998  5 O 2.93-3.01, 1 Mn 3.17
Rb  0.6305  0.0002  0.2824  5 O 2.93-3.01, 1 Mn 3.17
O  0.3390  0.5001  0.6969  1 Mn 1.84
O  0.8390  0.1969  0.9999  1 Mn 1.84
O  0.6610  0.6969  0.4999  1 Mn 1.84
O  0.6610  0.3031  0.5001  1 Mn 1.84
O  0.3390  0.4999  0.3031  1 Mn 1.84
O  0.1610  0.9999  0.8031  1 Mn 1.84
O  0.8390  0.8031  0.0001  1 Mn 1.84
O  0.1610  0.0001  0.1969  1 Mn 1.84
Mn  0.5000  0.5000  0.5000  4 O 1.84
Mn  0.0000  0.0000  0.0000  4 O 1.84

| no. | total moment (μB/f.u.) | calculated total energy (eV per atom) |
| --- | --- | --- |
| 1 | 4.00 | -6.05 |
| 2 | 5.81 | -3.18 |
| 3 | 14.00 | -6.19 |
| 4 | 3.00 | -4.73 |